Pd4PbSe8, relaxed, DFT PBE-GGA; total magnetic moment = 0.0000 μB/atom; raw formation energy = -0.26 eV/atom; DFT total energy = -4.28 eV per atom; calculated volume = 342 Å³ per cell
1.0
3.802 2.195 6.838
-3.802 2.195 6.838
0.000 -4.390 6.838
Pd Pb Se
4 1 8
Direct
0.000 0.000 0.000 Pd
0.000 0.500 0.500 Pd
0.500 0.000 0.500 Pd
0.500 0.500 0.000 Pd
0.500 0.500 0.500 Pb
0.233 0.233 0.727 Se
0.233 0.727 0.233 Se
0.270 0.270 0.270 Se
0.273 0.767 0.767 Se
0.727 0.233 0.233 Se
0.730 0.730 0.730 Se
0.767 0.273 0.767 Se
0.767 0.767 0.273 Se

=====

SrBe2Tc, relaxed, DFT PBE-GGA; total magnetic moment = 0.0651 μB/atom; energy relative to the lowest polymorph listed for this composition = 208.2 kJ/mol of formula units; energy relative to the elements = 0.73 eV/atom; DFT total energy = -4.14 eV per atom; calculated volume = 72 Å³ per cell
1.0
-2.065 2.669 3.287
2.065 -2.669 3.287
2.065 2.669 -3.287
Sr Be Tc
1 2 1
Direct
0.000 0.000 0.000 Sr
0.328 0.828 0.500 Be
0.672 0.172 0.500 Be
0.500 0.500 0.000 Tc

=====

SiAgAsBr2, relaxed, DFT PBE-GGA; total magnetic moment = 0.2318 μB/atom; raw formation energy = 0.38 eV/atom; energy relative to the lowest polymorph listed for this composition = 0.0 kJ/mol of formula units; DFT total energy = -2.87 eV per atom; calculated volume = 132 Å³ per cell
1.0
5.090 0.000 0.000
0.000 5.090 0.000
0.000 0.000 5.088
Si Ag As Br
1 1 1 2
Direct
0.000 0.000 0.000 Si
0.500 0.500 0.500 Ag
0.000 0.000 0.500 As
0.000 0.500 0.000 Br
0.500 0.000 0.000 Br

=====

MnIrRh2, relaxed, DFT PBE-GGA; total magnetic moment = 0.9746 μB/atom; energy relative to the elements = 0.17 eV/atom; DFT total energy = -8.01 eV per atom; calculated volume = 58 Å³ per cell
1.0
1.380 -2.330 0.000
1.380 2.330 0.000
0.000 0.000 8.959
Mn Ir Rh
1 1 2
Direct
0.000 0.000 0.000 Mn
0.000 0.000 0.500 Ir
0.500 0.500 0.239 Rh
0.500 0.500 0.761 Rh

=====

Ho2TaN3, relaxed, DFT PBE-GGA; total magnetic moment = 0.0000 μB/atom; raw formation energy = -1.51 eV/atom; DFT total energy = -9.18 eV per atom; calculated volume = 308 Å³ per cell
1.0
0.000 4.687 9.884
3.321 0.000 9.884
3.321 4.687 0.000
Ho Ta N
8 4 12
Direct
0.042 0.042 0.208 Ho
0.124 0.124 0.626 Ho
0.208 0.208 0.042 Ho
0.374 0.374 0.876 Ho
0.626 0.626 0.124 Ho
0.792 0.792 0.958 Ho
0.876 0.876 0.374 Ho
0.958 0.958 0.792 Ho
0.292 0.292 0.458 Ta
0.458 0.458 0.292 Ta
0.542 0.542 0.708 Ta
0.708 0.708 0.542 Ta
0.036 0.540 0.235 N
0.149 0.601 0.601 N
0.235 0.689 0.036 N
0.311 0.765 0.460 N
0.399 0.851 0.851 N
0.460 0.964 0.311 N
0.540 0.036 0.689 N
0.601 0.149 0.149 N
0.689 0.235 0.540 N
0.765 0.311 0.964 N
0.851 0.399 0.399 N
0.964 0.460 0.765 N

=====

HfThNp, relaxed, DFT PBE-GGA; total magnetic moment = 0.0002 μB/atom; energy relative to the elements = 1.17 eV/atom; DFT total energy = -8.94 eV per atom; calculated volume = 210 Å³ per cell
1.0
2.443 -7.412 0.000
2.443 7.412 0.000
-0.076 0.000 5.804
Hf Th Np
2 2 2
Direct
0.244 0.244 0.388 Hf
0.756 0.756 0.612 Hf
0.158 0.842 0.000 Th
0.842 0.158 0.000 Th
0.293 0.293 0.894 Np
0.707 0.707 0.106 Np